Density functional theory data (GGA+U) for crystalline Nb2VO6 at its relaxed geometry.

```
Nb2VO6
1.0
5.2981 0.0000 0.0000
0.0000 4.8739 0.0000
-5.1553 0.0000 8.7880
Nb V O
4 2 12
Direct
0.1797 0.0437 0.1839
0.1797 0.4563 0.6839
0.8203 0.5437 0.3161
0.8203 0.9563 0.8161
0.5000 0.0000 0.0000
0.5000 0.5000 0.5000
0.1470 0.7398 0.3198
0.1470 0.7602 0.8198
0.1524 0.2004 0.0009
0.1524 0.2996 0.5009
0.4987 0.2290 0.8225
0.4987 0.2710 0.3225
0.5013 0.7290 0.6775
0.5013 0.7710 0.1775
0.8476 0.7004 0.4991
0.8476 0.7996 0.9991
0.8530 0.2398 0.1802
0.8530 0.2602 0.6802
```

Calculated values
Electronic total energy ... -0.3206 hartree per atom
N(E_F) ... 0.08 states/eV/cell
M_tot ... 0.334 μB/atom